Material: K2GeSe3
Method: DFT, PBE
State: relaxed

## Properties
Formation energy without anion corrections = -0.74 eV/atom
V = 43.6 Å³ per atom

Cell lengths 7.6282, 7.6282, 10.3900 Å; angles 90.00, 90.00, 120.00 degrees
Positions (direct):
K (0.0000, 0.0000, 0.0000)
K (0.6667, 0.3333, 0.2508)
K (0.0000, 0.0000, 0.5000)
K (0.3333, 0.6667, 0.7492)
Ge (0.3333, 0.6667, 0.2502)
Ge (0.6667, 0.3333, 0.7498)
Se (0.1614, 0.3227, 0.2503)
Se (0.6773, 0.8386, 0.2503)
Se (0.1614, 0.8386, 0.2503)
Se (0.8386, 0.6773, 0.7497)
Se (0.8386, 0.1614, 0.7497)
Se (0.3227, 0.1614, 0.7497)


Material: K3Sm3GeSe8
Method: DFT, PBE
State: relaxed

## Properties
DOS(E_F) = 0.188 states/eV/atom
Formation energy without anion corrections = -1.37 eV/atom
V = 31.9 Å³ per atom

Cell lengths 8.3675, 8.3702, 9.2459 Å; angles 116.93, 90.00, 119.99 degrees
Positions (direct):
K (0.0000, 0.0000, 0.0000)
K (0.0000, 0.5000, 0.0000)
K (0.5000, 0.5000, 0.0000)
Sm (0.5000, 0.0000, 0.5000)
Sm (0.5000, 0.5000, 0.5000)
Sm (0.0000, 0.5000, 0.5000)
Ge (0.0000, 0.0000, 0.5000)
Se (0.2637, 0.5274, 0.2911)
Se (0.7363, 0.4726, 0.7089)
Se (0.7836, 0.5672, 0.3063)
Se (0.2164, 0.4328, 0.6937)
Se (0.7836, 0.0227, 0.3063)
Se (0.2164, 0.9773, 0.6937)
Se (0.2391, 0.0227, 0.3063)
Se (0.7609, 0.9773, 0.6937)


Material: KSnGeSe3
Method: DFT, PBE
State: relaxed

## Properties
DOS(E_F) = 0.251 states/eV/atom
Formation energy without anion corrections = -0.56 eV/atom
V = 34.4 Å³ per atom

Cell lengths 4.6788, 9.0250, 9.9190 Å; angles 99.62, 90.00, 90.00 degrees
Positions (direct):
K (0.2500, 0.1524, 0.1877)
K (0.7500, 0.8476, 0.8123)
Sn (0.2500, 0.6153, 0.1447)
Sn (0.7500, 0.3847, 0.8553)
Ge (0.2500, 0.1060, 0.5925)
Ge (0.7500, 0.8940, 0.4075)
Se (0.7500, 0.8682, 0.1660)
Se (0.2500, 0.1318, 0.8340)
Se (0.2500, 0.8271, 0.4895)
Se (0.7500, 0.1729, 0.5105)
Se (0.7500, 0.4030, 0.1287)
Se (0.2500, 0.5970, 0.8713)


Material: KTbGeSe3
Method: DFT, PBE
State: relaxed

## Properties
Formation energy without anion corrections = -1.25 eV/atom
V = 30.8 Å³ per atom

Cell lengths 4.0656, 8.6450, 11.0874 Å; angles 108.34, 90.00, 90.00 degrees
Positions (direct):
K (0.7500, 0.7647, 0.7226)
K (0.2500, 0.2353, 0.2774)
Tb (0.2500, 0.6399, 0.1558)
Tb (0.7500, 0.3601, 0.8442)
Ge (0.2500, 0.1281, 0.5597)
Ge (0.7500, 0.8719, 0.4403)
Se (0.2500, 0.6681, 0.4248)
Se (0.7500, 0.8950, 0.2223)
Se (0.7500, 0.3960, 0.1093)
Se (0.7500, 0.3319, 0.5752)
Se (0.2500, 0.6040, 0.8907)
Se (0.2500, 0.1050, 0.7777)


Material: K2TbGeSe4
Method: DFT, PBE
State: relaxed

## Properties
DOS(E_F) = 0.462 states/eV/atom
Formation energy without anion corrections = -1.09 eV/atom
V = 28.2 Å³ per atom

Cell lengths 8.6121, 8.6121, 8.6554 Å; angles 120.17, 120.17, 90.05 degrees
Positions (direct):
K (0.5000, 0.0000, 0.0000)
K (0.5000, 0.0000, 0.5000)
K (0.0000, 0.0000, 0.5000)
K (0.5000, 0.5000, 0.0000)
Tb (0.0000, 0.5000, 0.0000)
Tb (0.0000, 0.5000, 0.5000)
Ge (0.5000, 0.5000, 0.5000)
Ge (0.0000, 0.0000, 0.0000)
Se (0.2064, 0.7448, 0.9756)
Se (0.7552, 0.2936, 0.5244)
Se (0.2448, 0.7064, 0.4756)
Se (0.7936, 0.2552, 0.0244)
Se (0.7624, 0.7376, 0.9606)
Se (0.7624, 0.7376, 0.5394)
Se (0.2376, 0.2624, 0.4606)
Se (0.2376, 0.2624, 0.0394)


Material: K3Tb3GeSe8
Method: DFT, PBE
State: relaxed

## Properties
DOS(E_F) = 0.131 states/eV/atom
Formation energy without anion corrections = -1.38 eV/atom
V = 30.9 Å³ per atom

Cell lengths 8.2459, 8.2487, 9.2021 Å; angles 116.65, 90.00, 119.99 degrees
Positions (direct):
K (0.0000, 0.0000, 0.0000)
K (0.0000, 0.5000, 0.0000)
K (0.5000, 0.5000, 0.0000)
Tb (0.5000, 0.0000, 0.5000)
Tb (0.5000, 0.5000, 0.5000)
Tb (0.0000, 0.5000, 0.5000)
Ge (0.0000, 0.0000, 0.5000)
Se (0.2648, 0.5296, 0.2944)
Se (0.7352, 0.4704, 0.7056)
Se (0.7814, 0.5628, 0.3071)
Se (0.2186, 0.4372, 0.6929)
Se (0.7814, 0.0257, 0.3071)
Se (0.2186, 0.9743, 0.6929)
Se (0.2442, 0.0257, 0.3071)
Se (0.7558, 0.9743, 0.6929)


Material: K2GeTeSe4
Method: DFT, PBE
State: relaxed

## Properties
DOS(E_F) = 0.234 states/eV/atom
Formation energy without anion corrections = -0.51 eV/atom
V = 29.0 Å³ per atom

Cell lengths 8.6809, 8.6809, 8.6370 Å; angles 119.83, 119.83, 89.83 degrees
Positions (direct):
K (0.5000, 0.0000, 0.0000)
K (0.5000, 0.0000, 0.5000)
K (0.0000, 0.0000, 0.5000)
K (0.5000, 0.5000, 0.0000)
Ge (0.5000, 0.5000, 0.5000)
Ge (0.0000, 0.0000, 0.0000)
Te (0.0000, 0.5000, 0.0000)
Te (0.0000, 0.5000, 0.5000)
Se (0.2073, 0.7289, 0.9681)
Se (0.7711, 0.2927, 0.5319)
Se (0.2289, 0.7073, 0.4681)
Se (0.7927, 0.2711, 0.0319)
Se (0.7686, 0.7314, 0.9722)
Se (0.7686, 0.7314, 0.5278)
Se (0.2314, 0.2686, 0.4722)
Se (0.2314, 0.2686, 0.0278)


Material: KGeTe2Se4
Method: DFT, PBE
State: relaxed

## Properties
DOS(E_F) = 0.606 states/eV/atom
Formation energy without anion corrections = -0.33 eV/atom
V = 33.8 Å³ per atom

Cell lengths 7.6182, 7.0716, 7.0716 Å; angles 74.15, 57.41, 57.41 degrees
Positions (direct):
K (0.0000, 0.0000, 0.0000)
Ge (0.0000, 0.5000, 0.5000)
Te (0.5000, 0.6621, 0.3379)
Te (0.5000, 0.3379, 0.6621)
Se (0.6494, 0.5075, 0.8339)
Se (0.3506, 0.1661, 0.4925)
Se (0.9908, 0.4925, 0.1661)
Se (0.0092, 0.8339, 0.5075)


Material: K2ThGeSe4
Method: DFT, PBE
State: relaxed

## Properties
DOS(E_F) = 0.000 states/eV/atom
Formation energy without anion corrections = -1.24 eV/atom
V = 30.4 Å³ per atom

Cell lengths 4.3246, 7.9969, 7.3925 Å; angles 72.19, 90.00, 90.00 degrees
Positions (direct):
K (0.0000, 0.0000, 0.0000)
K (0.5000, 0.0000, 0.5000)
Th (0.0000, 0.5000, 0.5000)
Ge (0.5000, 0.5000, 0.0000)
Se (0.0000, 0.7010, 0.7644)
Se (0.0000, 0.2990, 0.2356)
Se (0.5000, 0.7060, 0.2630)
Se (0.5000, 0.2940, 0.7370)


Material: K2TiGeSe4
Method: DFT, PBE
State: relaxed

## Properties
DOS(E_F) = 0.000 states/eV/atom
Formation energy without anion corrections = -0.97 eV/atom
V = 33.8 Å³ per atom

Cell lengths 6.8430, 7.6832, 11.9939 Å; angles 82.70, 73.43, 63.56 degrees
Positions (direct):
K (0.1819, 0.0000, 0.6362)
K (0.8181, 0.0000, 0.3638)
K (0.5681, 0.5000, 0.8638)
K (0.9319, 0.5000, 0.1362)
Ti (0.7500, 0.5000, 0.5000)
Ti (0.0000, 0.0000, 0.0000)
Ge (0.2500, 0.5000, 0.5000)
Ge (0.5000, 0.0000, 0.0000)
Se (0.2617, 0.8040, 0.1124)
Se (0.1782, 0.1960, 0.8876)
Se (0.9342, 0.8040, 0.8876)
Se (0.6259, 0.1960, 0.1124)
Se (0.4883, 0.6960, 0.3876)
Se (0.5718, 0.3040, 0.6124)
Se (0.8158, 0.6960, 0.6124)
Se (0.1241, 0.3040, 0.3876)


Material: KTl2GeSe4
Method: DFT, PBE
State: relaxed

## Properties
DOS(E_F) = 0.461 states/eV/atom
Formation energy without anion corrections = -0.37 eV/atom
V = 27.5 Å³ per atom

Cell lengths 8.5622, 8.5622, 8.3429 Å; angles 119.20, 119.20, 90.81 degrees
Positions (direct):
K (0.0000, 0.5000, 0.0000)
K (0.0000, 0.5000, 0.5000)
Tl (0.5000, 0.0000, 0.0000)
Tl (0.5000, 0.0000, 0.5000)
Tl (0.0000, 0.0000, 0.5000)
Tl (0.5000, 0.5000, 0.0000)
Ge (0.5000, 0.5000, 0.5000)
Ge (0.0000, 0.0000, 0.0000)
Se (0.2627, 0.7891, 0.0262)
Se (0.7109, 0.2373, 0.4738)
Se (0.2891, 0.7627, 0.5262)
Se (0.7373, 0.2109, 0.9738)
Se (0.7404, 0.7601, 0.9761)
Se (0.7399, 0.7596, 0.5239)
Se (0.2601, 0.2404, 0.4761)
Se (0.2596, 0.2399, 0.0239)


Material: K2TmGeSe4
Method: DFT, PBE
State: relaxed

## Properties
DOS(E_F) = 0.329 states/eV/atom
Formation energy without anion corrections = -1.03 eV/atom
V = 35.2 Å³ per atom

Cell lengths 6.6300, 9.5738, 8.8626 Å; angles 90.00, 90.00, 90.00 degrees
Positions (direct):
K (0.4439, 0.3528, 0.2613)
K (0.4439, 0.3528, 0.7387)
K (0.9439, 0.6472, 0.7613)
K (0.9439, 0.6472, 0.2387)
Tm (0.9819, 0.1316, 0.5000)
Tm (0.4819, 0.8684, 0.0000)
Ge (0.5019, 0.8435, 0.5000)
Ge (0.0019, 0.1565, 0.0000)
Se (0.3708, 0.1370, 0.0000)
Se (0.8708, 0.8630, 0.5000)
Se (0.3888, 0.0937, 0.5000)
Se (0.8888, 0.9063, 0.0000)
Se (0.4344, 0.7028, 0.7506)
Se (0.9344, 0.2972, 0.2506)
Se (0.9344, 0.2972, 0.7494)
Se (0.4344, 0.7028, 0.2494)